(1)
## CsKTcBr6 (PBE-GGA)

Data for crystalline CsKTcBr6 at its relaxed geometry.

The space-group type is No. 163. For the electronic total energy, the calculation gives -3.50 eV per atom.

Cell: 8.024 8.024 13.934 Å, 90.00 90.00 120.00°
Site moments in Bohr magnetons follow the coordinates.
Sites, in units of the cell vectors:
Br (0.413, 0.072, 0.144)  0.04
K (0.333, 0.667, 0.250)  0.00
Br (0.413, 0.341, 0.356)  0.04
Br (0.341, 0.928, 0.644)  0.04
Tc (0.333, 0.667, 0.750)  2.31
Cs (0.000, 0.000, 0.000)  0.00
Br (0.072, 0.413, 0.644)  0.04
Br (0.587, 0.928, 0.856)  0.04
K (0.667, 0.333, 0.750)  0.00
Br (0.587, 0.659, 0.644)  0.04
Br (0.928, 0.341, 0.144)  0.04
Br (0.659, 0.587, 0.144)  0.04
Br (0.928, 0.587, 0.356)  0.04
Br (0.341, 0.413, 0.856)  0.04
Br (0.072, 0.659, 0.856)  0.04
Tc (0.667, 0.333, 0.250)  2.31
Cs (0.000, 0.000, 0.500)  0.00
Br (0.659, 0.072, 0.356)  0.04



(2)
## Cs2KTeBr6 (PBE-GGA)

Data for crystalline Cs2KTeBr6 at its relaxed geometry.

The space-group type is No. 139. As for the energy relative to the lowest polymorph listed for this composition: 0.00 eV per formula unit. For the electronic total energy, the calculation gives -2.74 eV per atom.

Cell: 8.312 8.312 8.710 Å, 61.50 61.50 90.00°
Site moments in Bohr magnetons follow the coordinates.
Sites, in units of the cell vectors:
Br (0.231, 0.769, 0.000)  0.01
K (0.500, 0.500, 0.000)  0.01
Br (0.254, 0.254, 0.492)  0.12
Br (0.231, 0.231, 0.000)  0.01
Te (0.000, 0.000, 0.000)  0.37
Cs (0.750, 0.250, 0.500)  0.00
Cs (0.250, 0.750, 0.500)  0.00
Br (0.746, 0.746, 0.508)  0.12
Br (0.769, 0.231, 0.000)  0.01
Br (0.769, 0.769, 0.000)  0.01



(3)
## Cs2KTeBr6 (PBE-GGA)

Data for crystalline Cs2KTeBr6 at its relaxed geometry.

The space-group type is No. 166. As for the energy relative to the lowest polymorph listed for this composition: 0.24 eV per formula unit. For the electronic total energy, the calculation gives -2.72 eV per atom.

Cell: 8.104 8.104 16.184 Å, 75.50 75.50 60.00°
Sites, in units of the cell vectors:
Br (0.639, 0.119, 0.602)
K (0.418, 0.418, 0.746)
Te (0.000, 0.000, 0.000)
Br (0.796, 0.309, 0.100)
Br (0.361, 0.361, 0.398)
Br (0.691, 0.204, 0.900)
Br (0.639, 0.639, 0.602)
Br (0.119, 0.639, 0.602)
Cs (0.697, 0.697, 0.910)
K (0.582, 0.582, 0.254)
Br (0.796, 0.796, 0.100)
Br (0.309, 0.796, 0.100)
Br (0.361, 0.881, 0.398)
Te (0.500, 0.500, 0.500)
Cs (0.863, 0.863, 0.412)
Br (0.204, 0.691, 0.900)
Br (0.204, 0.204, 0.900)
Cs (0.303, 0.303, 0.090)
Br (0.881, 0.361, 0.398)
Cs (0.137, 0.137, 0.588)



(4)
## CsKThBr6 (PBE-GGA)

Data for crystalline CsKThBr6 at its relaxed geometry.

The space-group type is No. 163. For the electronic total energy, the calculation gives -3.96 eV per atom.

Cell: 8.277 8.277 14.826 Å, 90.00 90.00 120.00°
Sites, in units of the cell vectors:
K (0.333, 0.667, 0.250)
Br (0.608, 0.956, 0.861)
Br (0.956, 0.348, 0.139)
Br (0.044, 0.652, 0.861)
K (0.667, 0.333, 0.750)
Br (0.348, 0.392, 0.861)
Th (0.667, 0.333, 0.250)
Cs (0.000, 0.000, 0.000)
Br (0.044, 0.392, 0.639)
Cs (0.000, 0.000, 0.500)
Br (0.652, 0.608, 0.139)
Br (0.608, 0.652, 0.639)
Br (0.392, 0.348, 0.361)
Br (0.652, 0.044, 0.361)
Br (0.956, 0.608, 0.361)
Th (0.333, 0.667, 0.750)
Br (0.348, 0.956, 0.639)
Br (0.392, 0.044, 0.139)



no.,uncorrected formation energy (meV per atom)
1,-1021.1
2,-1142.6
3,-1118.9
4,-1805.3